Entry 1:
A geometry-optimized SrTiSbI2 structure. Source: Alexandria, functional GGA-PBE.

Calculated values
The formation energy without anion corrections comes out at 290 meV/atom. The symmetry is No. 123.

extended XYZ file:
```
5
Lattice="6.1471 0.0000 0.0000 0.0000 6.1471 0.0000 0.0000 0.0000 6.5856" Properties=species:S:1:pos:R:3 pbc="T T T"
Sb 0.0000 0.0000 3.2928
I 0.0000 3.0736 0.0000
Ti 3.0736 3.0736 3.2928
I 3.0736 0.0000 0.0000
Sr 0.0000 0.0000 0.0000
```

Entry 2:
A geometry-optimized Er4RuSe2 structure. Source: Alexandria, functional GGA-PBE.

Calculated values
The formation energy without anion corrections comes out at -1085 meV/atom. The symmetry is No. 63.

extended XYZ file:
```
14
Lattice="-1.8831 -0.7088 3.2406 -3.8401 -2.4967 -5.0224 6.5541 -12.3209 1.1135" Properties=species:S:1:pos:R:3 pbc="T T T"
Se -0.9319 -1.6123 -0.8941
Se 1.7628 -13.9140 0.2259
Er -0.9415 -0.3544 1.6203
Er -2.9315 -3.6742 -0.2622
Er -1.3776 -6.5955 0.0018
Er -0.3381 -12.1662 -0.6126
Se 1.4917 -6.1683 -0.4824
Se -0.6608 -9.3581 -0.1859
Er 2.2085 -8.9309 -0.6701
Er 3.7624 -11.8521 -0.4061
Ru 3.0019 -10.1747 1.7638
Er 2.3355 -6.5149 2.1771
Ru -2.1710 -5.3516 -2.4321
Er 1.1691 -3.3601 -0.0556
```

Entry 3:
A geometry-optimized Ca4Cd2Hg5 structure. Source: Alexandria, functional GGA-PBE.

Calculated values
The symmetry is No. 10. The value obtained for the formation energy is -0.386 eV per atom.

extended XYZ file:
```
11
Lattice="3.9469 0.0000 0.0000 0.0000 8.1272 -0.6422 0.0000 0.3521 9.5686" Properties=species:S:1:pos:R:3 pbc="T T T"
Hg 0.0000 7.0286 0.6163
Cd 0.0000 7.7917 5.4228
Cd 0.0000 0.6876 3.5036
Ca 1.9734 6.6510 7.8037
Hg 0.0000 1.4507 8.3101
Ca 1.9734 2.4210 5.7629
Ca 1.9734 1.8283 1.1227
Hg 0.0000 4.9316 5.8378
Hg 0.0000 4.0636 -0.3211
Hg 0.0000 3.5477 3.0886
Ca 1.9734 6.0583 3.1635
```

> Number 2 is which compound?

Er4RuSe2